First-principles (SCAN) data for a crystal of La2YRh relaxed with PBEsol, as listed in Alexandria.

Calculated values
* ΔE to the lowest computed polymorph: 1.52 eV per formula unit
* space group: No. 47
* DOS(E_F): 4.36 states/eV per cell
* formation energy from the elements: -0.065 eV per atom

Geometry as extended XYZ:
```
4
Lattice="3.6000 0.0000 0.0000 0.0000 5.2431 0.0000 0.0000 0.0000 5.2483" Properties=species:S:1:pos:R:3 pbc="T T T"
La 0.0000 0.0000 0.0000
La 1.8000 2.6215 0.0000
Y 0.0000 2.6215 2.6241
Rh 1.8000 0.0000 2.6241
```